Below is a geometry-optimized Rb2TiInS4 structure, with properties calculated at the PBE level.

Its raw total energy is -75.34 eV per cell.

The space group is I-4 (No. 82) and the conventional cell measures 7.371, 7.371 and 9.261 Å, with angles of 90.00, 90.00 and 90.00 degrees. The inequivalent atoms are Rb at (0.000, 0.000, 0.000), Rb at (0.000, 0.500, 0.250), Ti at (0.000, 0.500, 0.750), In at (0.000, 0.000, 0.500) and S at (0.151, 0.275, 0.626).